CsTmMnO3: optimized geometry, GGA+U.

Raw total energy, eV per atom: -6.89
Space group: P2_1/m, No. 11

a b c (Å): 3.538 7.353 11.078
angles (deg): 122.59 90.00 90.00
Site moments in Bohr magnetons follow the coordinates.
Fractional coordinates of all 12 atoms:
Cs (0.250, 0.308, 0.232)  0.01
Cs (0.750, 0.692, 0.768)  0.01
Tm (0.250, 0.701, 0.136)  0.00
Tm (0.750, 0.299, 0.864)  0.00
Mn (0.250, 0.991, 0.600)  4.50
Mn (0.750, 0.009, 0.400)  4.50
O (0.750, 0.938, 0.198)  0.02
O (0.250, 0.062, 0.802)  0.02
O (0.250, 0.830, 0.381)  0.11
O (0.750, 0.170, 0.619)  0.11
O (0.750, 0.478, 0.096)  0.00
O (0.250, 0.522, 0.904)  0.00